Record 1
{
  "formula": "K4Nd3USe8",
  "functional": "PBE",
  "state": "relaxed",
  "e_form_raw_ev_per_atom": -1.613,
  "space_group": "R-3m (166)",
  "magnetic_moment_mub_per_atom": 0.1881,
  "dos_at_fermi_per_ev_atom": 0.593,
  "cell": [[8.653, 0.000, 0.000], [0.000, 9.177, 0.362], [-4.326, -4.322, 6.122]],
  "species": ["Se", "Se", "Se", "Se", "Se", "Se", "Se", "Se", "K", "K", "K", "K", "U", "Nd", "Nd", "Nd"],
  "fractional_positions": [[0.234, 0.710, 0.976], [0.738, 0.713, 0.475], [0.766, 0.290, 0.024], [0.234, 0.710, 0.467], [0.258, 0.290, 0.024], [0.742, 0.710, 0.976], [0.766, 0.290, 0.533], [0.262, 0.287, 0.525], [0.500, 0.000, 0.500], [0.500, 0.000, 0.000], [0.000, 0.000, 0.000], [0.000, 0.000, 0.500], [0.000, 0.500, 0.000], [0.500, 0.500, 0.500], [0.000, 0.500, 0.500], [0.500, 0.500, 0.000]]
}

=====

Record 2
{
  "formula": "MnTe2W",
  "functional": "PBE",
  "state": "relaxed",
  "e_form_raw_ev_per_atom": 1.008,
  "space_group": "I-42d (122)",
  "magnetic_moment_mub_per_atom": 0.0000,
  "e_above_lowest_polymorph_ev_per_fu": 3.70,
  "dos_at_fermi_per_ev_atom": 2.714,
  "cell": [[6.070, 0.000, 0.000], [0.000, 6.070, 0.000], [3.035, 3.035, 5.607]],
  "species": ["W", "W", "Mn", "Mn", "Te", "Te", "Te", "Te"],
  "fractional_positions": [[0.750, 0.250, 0.500], [0.000, 0.000, 0.000], [0.500, 0.500, 0.000], [0.250, 0.750, 0.500], [0.603, 0.125, 0.250], [0.147, 0.625, 0.250], [0.375, 0.397, 0.750], [0.875, 0.853, 0.750]]
}